Record 1
VASP calculation (PBE) on a relaxed structure of InPbS2Cl.

Unit cell a=5.4579 b=5.4579 c=5.2425 alpha=90.00 beta=90.00 gamma=90.00
Last column: nearest neighbours and their distance in Å.
Element x y z (fractional)
In1 0.0000 0.0000 0.0000  2 Cl 2.62, 4 S 2.73
Pb1 0.5000 0.5000 0.5000  8 S 3.78, 4 Cl 3.86
S1 0.0000 0.5000 0.0000  2 In 2.73
S2 0.5000 0.0000 0.0000  2 In 2.73
Cl1 0.0000 0.0000 0.5000  2 In 2.62

Summary:
* space-group type: P4/mmm



Record 2
VASP calculation (PBE) on a relaxed structure of InPbS2Cl.

Unit cell a=7.0633 b=5.6322 c=8.0924 alpha=90.00 beta=94.42 gamma=90.00
Last column: nearest neighbours and their distance in Å.
Element x y z (fractional)
In1 0.0861 0.2500 0.1512  1 Cl 2.44, 2 S 2.46-2.47
In2 0.9139 0.7500 0.8488  1 Cl 2.44, 2 S 2.46-2.47
Pb1 0.2194 0.2500 0.6234  4 S 2.77-2.95
Pb2 0.7806 0.7500 0.3766  4 S 2.77-2.95
S1 0.0516 0.7500 0.1377  1 In 2.46
S2 0.0969 0.7500 0.6011  1 In 2.47
S3 0.9031 0.2500 0.3989  1 In 2.47
S4 0.9484 0.2500 0.8623  1 In 2.46
Cl1 0.4211 0.2500 0.2492  1 In 2.44
Cl2 0.5789 0.7500 0.7508  1 In 2.44

Summary:
* space-group type: P2_1/m



Record 3
VASP calculation (PBE) on a relaxed structure of InPbS2Cl.

Unit cell a=5.6920 b=5.6920 c=5.7989 alpha=90.00 beta=90.00 gamma=90.00
Last column: nearest neighbours and their distance in Å.
Element x y z (fractional)
In1 0.0000 0.0000 0.0000  4 Cl 4.02, 8 S 4.06
Pb1 0.5000 0.5000 0.5000  4 S 2.85, 2 Cl 2.90
S1 0.0000 0.5000 0.5000  2 Pb 2.85
S2 0.5000 0.0000 0.5000  2 Pb 2.85
Cl1 0.5000 0.5000 0.0000  2 Pb 2.90

Summary:
* space-group type: P4/mmm



Record 4
VASP calculation (PBE) on a relaxed structure of ScInPbCl6.

Unit cell a=7.1473 b=7.1473 c=6.7194 alpha=90.00 beta=90.00 gamma=120.00
Last column: nearest neighbours and their distance in Å.
Element x y z (fractional)
Sc1 0.0000 0.0000 0.0000  6 Cl 2.52
In1 0.3333 0.6667 0.5000  6 Cl 3.24
Pb1 0.6667 0.3333 0.0000  6 Cl 2.90
Cl1 0.2924 0.0125 0.2184  1 Sc 2.52
Cl2 0.2924 0.2799 0.7816  1 Sc 2.52
Cl3 0.7201 0.0125 0.7816  1 Sc 2.52
Cl4 0.7201 0.7076 0.2184  1 Sc 2.52
Cl5 0.9875 0.2799 0.2184  1 Sc 2.52
Cl6 0.9875 0.7076 0.7816  1 Sc 2.52

Summary:
* space-group type: P312



Record 5
VASP calculation (PBE) on a relaxed structure of InPbSeCl.

Unit cell a=12.0771 b=12.0771 c=12.0771 alpha=25.04 beta=25.04 gamma=25.04
Last column: nearest neighbours and their distance in Å.
Element x y z (fractional)
In1 0.1161 0.1161 0.1161  4 Cl 2.91-3.09
In2 0.8839 0.8839 0.8839  4 Cl 2.91-3.09
Pb1 0.2941 0.2941 0.2941  4 Se 2.93-3.03
Pb2 0.7059 0.7059 0.7059  4 Se 2.93-3.03
Se1 0.3775 0.3775 0.3775  4 Pb 2.93-3.03
Se2 0.6225 0.6225 0.6225  4 Pb 2.93-3.03
Cl1 0.1991 0.1991 0.1991  4 In 2.91-3.09
Cl2 0.8009 0.8009 0.8009  4 In 2.91-3.09

Summary:
* space-group type: R-3m



Record 6
VASP calculation (PBE) on a relaxed structure of InPbSeCl.

Unit cell a=7.5391 b=7.5391 c=7.5391 alpha=90.00 beta=90.00 gamma=90.00
Last column: nearest neighbours and their distance in Å.
Element x y z (fractional)
In1 0.0000 0.0000 0.0000  4 Cl 3.26, 4 Se 3.26
In2 0.0000 0.5000 0.5000  4 Cl 3.26, 4 Se 3.26
In3 0.5000 0.0000 0.5000  4 Cl 3.26, 4 Se 3.26
In4 0.5000 0.5000 0.0000  4 Cl 3.26, 4 Se 3.26
Pb1 0.0000 0.0000 0.5000  4 Se 3.26, 4 Cl 3.26
Pb2 0.0000 0.5000 0.0000  4 Se 3.26, 4 Cl 3.26
Pb3 0.5000 0.0000 0.0000  4 Se 3.26, 4 Cl 3.26
Pb4 0.5000 0.5000 0.5000  4 Se 3.26, 4 Cl 3.26
Se1 0.2500 0.2500 0.2500  4 In 3.26, 4 Pb 3.26
Se2 0.2500 0.7500 0.7500  4 In 3.26, 4 Pb 3.26
Se3 0.7500 0.2500 0.7500  4 In 3.26, 4 Pb 3.26
Se4 0.7500 0.7500 0.2500  4 In 3.26, 4 Pb 3.26
Cl1 0.2500 0.2500 0.7500  4 Pb 3.26, 4 In 3.26
Cl2 0.2500 0.7500 0.2500  4 Pb 3.26, 4 In 3.26
Cl3 0.7500 0.2500 0.2500  4 Pb 3.26, 4 In 3.26
Cl4 0.7500 0.7500 0.7500  4 Pb 3.26, 4 In 3.26

Summary:
* space-group type: F-43m



Record 7
VASP calculation (PBE) on a relaxed structure of InPb2SeCl.

Unit cell a=5.7918 b=5.7918 c=5.2075 alpha=90.00 beta=90.00 gamma=90.00
Last column: nearest neighbours and their distance in Å.
Element x y z (fractional)
In1 0.0000 0.0000 0.0000  8 Pb 3.89, 4 Cl 4.10
Pb1 0.0000 0.5000 0.5000  2 Se 2.90
Pb2 0.5000 0.0000 0.5000  2 Se 2.90
Se1 0.5000 0.5000 0.5000  2 Cl 2.60, 4 Pb 2.90
Cl1 0.5000 0.5000 0.0000  2 Se 2.60

Summary:
* space-group type: P4/mmm



Record 8
VASP calculation (PBE) on a relaxed structure of InSiPb2Cl.

Unit cell a=6.0013 b=6.0013 c=4.9751 alpha=90.00 beta=90.00 gamma=90.00
Last column: nearest neighbours and their distance in Å.
Element x y z (fractional)
In1 0.0000 0.0000 0.0000  2 Si 2.49
Si1 0.0000 0.0000 0.5000  2 In 2.49
Pb1 0.0000 0.5000 0.0000  2 In 3.00
Pb2 0.5000 0.0000 0.0000  2 In 3.00
Cl1 0.5000 0.5000 0.5000  8 Pb 3.90, 4 Si 4.24

Summary:
* space-group type: P4/mmm



| no. | raw formation energy (meV per atom) |
| --- | --- |
| 1 | -223 |
| 2 | -685 |
| 3 | 36 |
| 4 | -1521 |
| 5 | -621 |
| 6 | -530 |
| 7 | 140 |
| 8 | 528 |